## NdSm3Pd3 (GGA-PBE)

Data for an optimized crystal structure of NdSm3Pd3.

Values from the calculation:
DFT formation energy   -0.618 eV per atom
Spin magnetization   0.0 μB/f.u.
Fermi-level density of states   6.19 states/eV/f.u.

Lattice parameters (Å, degrees): 7.146 7.146 7.214 90.97 90.97 96.76
Sites, in units of the cell vectors:
Nd 0.238 0.238 0.376
Nd 0.762 0.762 0.624
Sm 0.155 0.155 0.870
Sm 0.251 0.749 0.500
Sm 0.322 0.678 0.000
Sm 0.678 0.322 0.000
Sm 0.749 0.251 0.500
Sm 0.845 0.845 0.130
Pd 0.007 0.509 0.778
Pd 0.437 0.437 0.693
Pd 0.491 0.993 0.222
Pd 0.509 0.007 0.778
Pd 0.563 0.563 0.307
Pd 0.993 0.491 0.222

***

## NdSmPd2 (GGA-PBE)

Data for an optimized crystal structure of NdSmPd2.

Values from the calculation:
DFT formation energy   -0.685 eV per atom
Spin magnetization   0.0 μB/f.u.
Offset from the most stable computed form   142 meV per atom
Fermi-level density of states   2.45 states/eV/f.u.

Lattice parameters (Å, degrees): 4.190 4.190 20.473 90.00 90.00 120.00
Sites, in units of the cell vectors:
Nd 0.000 0.000 0.000
Nd 0.333 0.667 0.667
Nd 0.667 0.333 0.333
Sm 0.000 0.000 0.500
Sm 0.333 0.667 0.167
Sm 0.667 0.333 0.833
Pd 0.000 0.000 0.248
Pd 0.000 0.000 0.752
Pd 0.333 0.667 0.418
Pd 0.333 0.667 0.915
Pd 0.667 0.333 0.085
Pd 0.667 0.333 0.582

***

## NdSm4Pd4 (GGA-PBE)

Data for an optimized crystal structure of NdSm4Pd4.

Values from the calculation:
DFT formation energy   -0.610 eV per atom
Spin magnetization   0.0 μB/f.u.
Fermi-level density of states   7.79 states/eV/f.u.

Lattice parameters (Å, degrees): 9.139 9.139 5.930 90.00 90.00 90.00
Sites, in units of the cell vectors:
Nd 0.250 0.250 0.250
Nd 0.750 0.750 0.750
Sm 0.069 0.658 0.162
Sm 0.158 0.931 0.662
Sm 0.342 0.569 0.662
Sm 0.431 0.842 0.162
Sm 0.569 0.158 0.838
Sm 0.658 0.431 0.338
Sm 0.842 0.069 0.338
Sm 0.931 0.342 0.838
Pd 0.035 0.626 0.656
Pd 0.126 0.965 0.156
Pd 0.374 0.535 0.156
Pd 0.465 0.874 0.656
Pd 0.535 0.126 0.344
Pd 0.626 0.465 0.844
Pd 0.874 0.035 0.844
Pd 0.965 0.374 0.344

***

## NdSmPd (GGA-PBE)

Data for an optimized crystal structure of NdSmPd.

Values from the calculation:
DFT formation energy   -0.357 eV per atom
Spin magnetization   0.0 μB/f.u.
Offset from the most stable computed form   121 meV per atom
Fermi-level density of states   2.84 states/eV/f.u.

Lattice parameters (Å, degrees): 4.846 4.846 3.972 90.00 90.00 120.00
Sites, in units of the cell vectors:
Nd 0.000 0.000 0.000
Sm 0.333 0.667 0.445
Pd 0.667 0.333 0.699